12
Lattice="4.9822 0.0000 0.0000 0.0000 6.8333 0.0000 -0.2809 0.0000 4.9752" Properties=species:S:1:pos:R:3 comment="Tb2PuFeO8 GGA+U relaxed" magnetic_moment_mub_per_atom=0.50 e_tot_ev_per_atom=-8.3279 pbc="T T T"
Tb 0.0000 1.6273 0.0000
Tb 0.0000 5.2061 0.0000
Pu 2.3507 3.4167 2.4876
Fe 2.3507 0.0000 2.4876
O 0.9812 3.4167 1.0465
O 1.0351 0.0000 1.0987
O 1.4051 1.8404 3.3858
O 1.4051 4.9929 3.3858
O 3.2962 1.8404 1.5894
O 3.2962 4.9929 1.5894
O 3.6662 0.0000 3.8765
O 3.7201 3.4167 3.9286